No. 1
A plane-wave DFT calculation with GGA-PBE was carried out for a relaxed structure of Zn2As2Br.

a b c (Å): 7.2242 7.2242 7.2242
angles (deg): 148.32 148.32 45.41
Last column: nearest neighbours and their distance in Å.
Fractional coordinates of all 5 atoms:
Zn  0.0998  0.0998  0.0000  1 Zn 2.66, 4 As 2.81
Zn  0.9002  0.9002  0.0000  1 Zn 2.66, 4 As 2.81
As  0.2500  0.7500  0.5000  4 As 2.79, 4 Zn 2.81
As  0.7500  0.2500  0.5000  4 As 2.79, 4 Zn 2.81
Br  0.5000  0.5000  0.0000  8 Zn 3.09

No. 2
A plane-wave DFT calculation with GGA-PBE was carried out for a relaxed structure of ZnAsBr2.

a b c (Å): 3.6887 3.6887 8.4836
angles (deg): 90.00 90.00 90.00
Last column: nearest neighbours and their distance in Å.
Fractional coordinates of all 4 atoms:
Zn  0.0000  0.0000  0.0000  1 Br 2.31
As  0.5000  0.5000  0.9131  1 Br 2.33
Br  0.0000  0.0000  0.2722  1 Zn 2.31
Br  0.5000  0.5000  0.6382  1 As 2.33

No. 3
A plane-wave DFT calculation with GGA-PBE was carried out for a relaxed structure of ZnAsBr4.

a b c (Å): 6.2894 6.2894 6.2894
angles (deg): 60.00 60.00 60.00
Last column: nearest neighbours and their distance in Å.
Fractional coordinates of all 6 atoms:
Zn  0.0000  0.0000  0.0000  12 Br 3.69, 4 As 3.85
As  0.7500  0.7500  0.7500  12 Br 3.69, 4 Zn 3.85
Br  0.3751  0.3751  0.3751  6 Br 3.14-3.15
Br  0.3751  0.3751  0.8748  6 Br 3.14-3.15
Br  0.3751  0.8748  0.3751  6 Br 3.14-3.15
Br  0.8748  0.3751  0.3751  6 Br 3.14-3.15

No. 4
A plane-wave DFT calculation with GGA-PBE was carried out for a relaxed structure of ZnAs2Br8.

a b c (Å): 4.0697 8.3076 13.2671
angles (deg): 88.22 87.44 82.61
Last column: nearest neighbours and their distance in Å.
Fractional coordinates of all 11 atoms:
Zn  0.0000  0.0000  0.0000  2 Br 2.30
As  0.0679  0.2616  0.3266  3 Br 2.38-2.41
As  0.9321  0.7384  0.6734  3 Br 2.38-2.41
Br  0.1383  0.9649  0.7473  1 As 2.41
Br  0.2328  0.7397  0.5154  1 As 2.38
Br  0.2573  0.5206  0.7574  1 As 2.38
Br  0.4160  0.7911  0.0299  1 Zn 2.30
Br  0.5840  0.2089  0.9701  1 Zn 2.30
Br  0.7427  0.4794  0.2426  1 As 2.38
Br  0.7672  0.2603  0.4846  1 As 2.38
Br  0.8617  0.0351  0.2527  1 As 2.41

Table of uncorrected energy (Ry per atom), in record order: -0.1931, -0.1869, -0.0916, -0.1968